Record 1
LiYPb: relaxed, PBE-GGA.

Output
VASP energy (eV/atom): -4.37
Crystal system: cubic
ΔE_f (eV per atom): -0.34

a b c (Å): 7.070 7.070 7.070
angles (deg): 90.00 90.00 90.00
Space group F-43m (No. 216)
One atom of each set of equivalent atoms:
Li  0.000  0.000  0.000 (multiplicity 4)
Y  0.000  0.000  0.500 (multiplicity 4)
Pb  0.250  0.250  0.750 (multiplicity 4)

***

Record 2
YAlCr2: relaxed, PBE-GGA.

Output
VASP energy (eV/atom): -6.76
Crystal system: tetragonal
ΔE_f (eV per atom): 0.60

a b c (Å): 4.190 4.190 18.224
angles (deg): 90.00 90.00 90.00
Space group I-42d (No. 122)
One atom of each set of equivalent atoms:
Y  0.000  0.000  0.000 (multiplicity 4)
Al  0.000  0.000  0.500 (multiplicity 4)
Cr  0.069  0.250  0.625 (multiplicity 8)

***

Record 3
Pm3Cd2In7: relaxed, PBE-GGA.

Output
VASP energy (eV/atom): -3.25
Crystal system: orthorhombic
ΔE_f (eV per atom): -0.32

a b c (Å): 4.714 30.738 4.414
angles (deg): 90.00 90.00 90.00
Space group Cmmm (No. 65)
One atom of each set of equivalent atoms:
Pm  0.000  0.000  0.000 (multiplicity 2)
Pm  0.000  0.174  0.000 (multiplicity 4)
Cd  0.000  0.360  0.500 (multiplicity 4)
In  0.000  0.082  0.500 (multiplicity 4)
In  0.000  0.272  0.500 (multiplicity 4)
In  0.000  0.421  0.000 (multiplicity 4)
In  0.000  0.500  0.500 (multiplicity 2)

***

Record 4
PaCoPb2S5: relaxed, PBE-GGA.

Output
VASP energy (eV/atom): -5.80
Formation energy without anion corrections (meV per atom): -842
Crystal system: orthorhombic

a b c (Å): 3.967 17.165 12.620
angles (deg): 90.00 90.00 90.00
Space group Cmc2_1 (No. 36)
One atom of each set of equivalent atoms:
Pa  0.000  0.197  0.000 (multiplicity 4)
Co  0.000  0.434  0.423 (multiplicity 4)
Pb  0.000  0.099  0.640 (multiplicity 4)
Pb  0.000  0.111  0.298 (multiplicity 4)
S  0.000  0.045  0.011 (multiplicity 4)
S  0.000  0.288  0.644 (multiplicity 4)
S  0.000  0.308  0.360 (multiplicity 4)
S  0.000  0.354  0.980 (multiplicity 4)
S  0.000  0.495  0.262 (multiplicity 4)

***

Record 5
Ac8HgBi3Te4: relaxed, PBE-GGA.

Output
VASP energy (eV/atom): -4.77
Formation energy without anion corrections (meV per atom): -1183
Crystal system: trigonal

a b c (Å): 9.6189 9.6189 23.4277
angles (deg): 90.00 90.00 120.00
Space group R-3m (No. 166, hexagonal axes)
One atom of each set of equivalent atoms:
Ac  0.0000  0.0000  0.2489 (multiplicity 6)
Ac  0.0068  0.5034  0.2478 (multiplicity 18)
Hg  0.0000  0.0000  0.5000 (multiplicity 3)
Bi  0.0000  0.5000  0.5000 (multiplicity 9)
Te  0.0000  0.0000  0.0000 (multiplicity 3)
Te  0.0000  0.5000  0.0000 (multiplicity 9)

***

Record 6
Tb2Y3Tl2: relaxed, PBE-GGA.

Output
VASP energy (eV/atom): -4.98
Crystal system: monoclinic
ΔE_f (eV per atom): -0.21

a b c (Å): 9.389 5.424 8.665
angles (deg): 90.00 111.22 90.00
Space group C2/m (No. 12)
One atom of each set of equivalent atoms:
Tb  0.075  0.000  0.226 (multiplicity 4)
Y  0.000  0.500  0.500 (multiplicity 2)
Y  0.154  0.500  0.961 (multiplicity 4)
Tl  0.217  0.000  0.651 (multiplicity 4)

***

Record 7
InSi2Sb: relaxed, PBE-GGA.

Output
VASP energy (eV/atom): -4.15
Formation energy without anion corrections (meV per atom): 278
Crystal system: orthorhombic
Energy above the most stable polymorph in this dataset (eV/atom): 0.0386

a b c (Å): 3.669 5.433 8.978
angles (deg): 90.00 90.00 90.00
Space group Amm2 (No. 38)
One atom of each set of equivalent atoms:
In  0.000  0.000  0.000 (multiplicity 2)
Si  0.000  0.000  0.562 (multiplicity 2)
Si  0.500  0.000  0.739 (multiplicity 2)
Sb  0.500  0.000  0.312 (multiplicity 2)

***

Record 8
LaAlBr2: relaxed, PBE-GGA.

Output
VASP energy (eV/atom): -3.69
Formation energy without anion corrections (meV per atom): -689
Crystal system: orthorhombic
Energy above the most stable polymorph in this dataset (eV/atom): 0.2218

a b c (Å): 3.842 6.456 10.117
angles (deg): 90.00 90.00 90.00
Space group Cmmm (No. 65)
One atom of each set of equivalent atoms:
La  0.000  0.000  0.000 (multiplicity 2)
Al  0.000  0.000  0.500 (multiplicity 2)
Br  0.000  0.500  0.231 (multiplicity 4)

***

Record 9
Ta2BeP: relaxed, PBE-GGA.

Output
VASP energy (eV/atom): -7.37
Crystal system: tetragonal
ΔE_f (eV per atom): 0.84
Energy above the most stable polymorph in this dataset (eV/atom): 1.4929

a b c (Å): 5.226 5.226 11.482
angles (deg): 90.00 90.00 90.00
Space group I-42d (No. 122)
One atom of each set of equivalent atoms:
Ta  0.212  0.250  0.125 (multiplicity 8)
Be  0.000  0.000  0.000 (multiplicity 4)
P  0.000  0.000  0.500 (multiplicity 4)

***

Record 10
Nd3Te2P: relaxed, PBE-GGA.

Output
VASP energy (eV/atom): -5.74
Formation energy without anion corrections (meV per atom): -1405
Crystal system: hexagonal
Energy above the most stable polymorph in this dataset (eV/atom): 0.0957

a b c (Å): 4.2768 4.2768 22.9276
angles (deg): 90.00 90.00 120.00
Space group P6_3/mmc (No. 194)
One atom of each set of equivalent atoms:
Nd  0.0000  0.0000  0.0000 (multiplicity 2)
Nd  0.3333  0.6667  0.1744 (multiplicity 4)
Te  0.3333  0.6667  0.5863 (multiplicity 4)
P  0.0000  0.0000  0.2500 (multiplicity 2)

***

Record 11
AcLa2HoTm4: relaxed, PBE-GGA.

Output
VASP energy (eV/atom): -4.13
Crystal system: orthorhombic
ΔE_f (eV per atom): 0.42

a b c (Å): 6.899 11.955 13.421
angles (deg): 90.00 90.00 90.00
Space group Imma (No. 74)
One atom of each set of equivalent atoms:
Ac  0.000  0.000  0.000 (multiplicity 4)
La  0.000  0.000  0.500 (multiplicity 4)
La  0.250  0.250  0.250 (multiplicity 4)
Ho  0.250  0.250  0.750 (multiplicity 4)
Tm  0.000  0.008  0.741 (multiplicity 8)
Tm  0.239  0.250  0.506 (multiplicity 8)